Tb2Nd6Tm3Tl | GGA-PBE | optimized geometry

Cell: 6.192 10.741 11.804 Å, 90.00 100.12 90.00°
Space group C2/m (No. 12)
Asymmetric unit:
Tb: 0.000 0.167 0.000
Nd: 0.244 0.500 0.748
Nd: 0.248 0.336 0.251
Tm: 0.000 0.000 0.500
Tm: 0.000 0.333 0.500
Tl: 0.000 0.500 0.000

Results
ΔE_f (eV/atom): -0.012